[1]
TaReC3: relaxed, PBE-GGA.

abc: 4.0509 4.0509 4.0509
angles: 90.00 90.00 90.00
Space group Pm-3m (No. 221)
Asymmetric unit:
Ta 0.0000 0.0000 0.0000 (multiplicity 1)
Re 0.5000 0.5000 0.5000 (multiplicity 1)
C 0.0000 0.0000 0.5000 (multiplicity 3)

Results
- ΔH_f (0 K): 245.2 kJ/mol of atoms
- Calculated total energy: -7.8530 eV per atom
- Relative energy among the computed polymorphs: 763 meV/atom


[2]
TaReC2: relaxed, PBE-GGA.

abc: 5.4874 5.4874 5.4874
angles: 90.00 90.00 90.00
Space group Fm-3m (No. 225)
Asymmetric unit:
Ta 0.0000 0.0000 0.0000 (multiplicity 4)
Re 0.0000 0.0000 0.5000 (multiplicity 4)
C 0.2500 0.2500 0.2500 (multiplicity 8)

Results
- ΔH_f (0 K): 57.9 kJ/mol of atoms
- Calculated total energy: -10.0870 eV per atom
- Relative energy among the computed polymorphs: 257 meV/atom


[3]
TaReC2: relaxed, PBE-GGA.

abc: 4.6951 4.6951 9.6336
angles: 90.00 90.00 90.00
Space group I-42d (No. 122)
Asymmetric unit:
Ta 0.0000 0.0000 0.0000 (multiplicity 4)
Re 0.0000 0.0000 0.5000 (multiplicity 4)
C 0.2310 0.2500 0.6250 (multiplicity 8)

Results
- ΔH_f (0 K): 33.1 kJ/mol of atoms
- Calculated total energy: -10.3437 eV per atom
- Relative energy among the computed polymorphs: 0 meV/atom